The following is a SCAN calculation of a crystal of LiIrOs2 relaxed with PBEsol, from Alexandria.

Structure (CIF):
```
data_LiIrOs2
_cell_length_a 2.727
_cell_length_b 4.539
_cell_length_c 9.094
_cell_angle_alpha 90.00
_cell_angle_beta 90.00
_cell_angle_gamma 90.00
_space_group_name_H-M_alt 'C m m 2'
_space_group_IT_number 35
loop_
_space_group_symop_operation_xyz
'x,y,z'
'-x,-y,z'
'-x,y,z'
'x,-y,z'
'x+1/2,y+1/2,z'
'-x+1/2,-y+1/2,z'
'-x+1/2,y+1/2,z'
'x+1/2,-y+1/2,z'
loop_
_atom_site_label
_atom_site_fract_x
_atom_site_fract_y
_atom_site_fract_z
Li1 0.000 0.000 0.000
Ir1 0.000 0.500 0.242
Os1 0.000 0.000 0.498
Os2 0.000 0.500 0.745
```

The following is a SCAN calculation of a crystal of Li2IrOs relaxed with PBEsol, from Alexandria.

Structure (CIF):
```
data_Li2IrOs
_cell_length_a 2.6246
_cell_length_b 2.6246
_cell_length_c 26.7927
_cell_angle_alpha 90.00
_cell_angle_beta 90.00
_cell_angle_gamma 120.00
_space_group_name_H-M_alt 'R -3 m'
_space_group_IT_number 166
_space_group_name_Hall '-R 3 2"'
loop_
_atom_site_label
_atom_site_fract_x
_atom_site_fract_y
_atom_site_fract_z
Li1 0.0000 0.0000 0.2484
Ir1 0.0000 0.0000 0.5000
Os1 0.0000 0.0000 0.0000
```

The following is a SCAN calculation of a crystal of LiIrOs2Ru relaxed with PBEsol, from Alexandria.

Structure (CIF):
```
data_LiIrOs2Ru
_cell_length_a 4.636
_cell_length_b 4.636
_cell_length_c 4.128
_cell_angle_alpha 90.00
_cell_angle_beta 90.00
_cell_angle_gamma 90.00
_space_group_name_H-M_alt 'P 4/m m m'
_space_group_IT_number 123
_space_group_name_Hall '-P 4 2'
loop_
_atom_site_label
_atom_site_fract_x
_atom_site_fract_y
_atom_site_fract_z
Li1 0.000 0.000 0.000
Ir1 0.000 0.000 0.500
Os1 0.000 0.500 0.500
Ru1 0.500 0.500 0.000
```

Number 1: E -215.840 eV per formula unit. Number 2: E -148.205 eV per formula unit. Number 3: E -243.106 eV per formula unit.